Record 1
Below is a relaxed FeTe2MoN crystal, with properties calculated at the PBE level.

Cell: 5.2081 5.2081 3.4033 Å, 90.00 90.00 90.00°
With the nearest neighbours (Å) after each atom.
Fractional positions:
Mo 0.5000 0.5000 0.5000  8 Te 3.11, 2 Mo 3.40
Te 0.0000 0.5000 0.0000  2 Fe 2.60
Te 0.5000 0.0000 0.0000  2 Fe 2.60
Fe 0.0000 0.0000 0.0000  2 N 1.70
N 0.0000 0.0000 0.5000  2 Fe 1.70

The uncorrected formation energy comes out at 0.56 eV/atom. The calculation puts the electronic total energy at -31.087 eV/cell.


Record 2
Below is a relaxed FeTe2MoN crystal, with properties calculated at the PBE level.

Cell: 5.4250 5.4250 3.7798 Å, 90.00 90.00 90.00°
With the nearest neighbours (Å) after each atom.
Fractional positions:
Mo 0.0000 0.0000 0.0000  2 N 1.89
Te 0.0000 0.5000 0.0000  2 Mo 2.71
Te 0.5000 0.0000 0.0000  2 Mo 2.71
Fe 0.5000 0.5000 0.5000  8 Te 3.31
N 0.0000 0.0000 0.5000  2 Mo 1.89

The uncorrected formation energy comes out at 0.64 eV/atom. The calculation puts the electronic total energy at -30.681 eV/cell.


Record 3
Below is a relaxed TlFeMo2N crystal, with properties calculated at the PBE level.

Cell: 4.8008 3.4500 4.8008 Å, 90.00 90.00 90.00°
With the nearest neighbours (Å) after each atom.
Fractional positions:
Tl 0.5000 0.5000 0.5000  8 Mo 2.96
N 0.0000 0.5000 0.0000  2 Fe 1.73
Mo 0.0000 0.0000 0.5000  2 Fe 2.40
Mo 0.5000 0.0000 0.0000  2 Fe 2.40
Fe 0.0000 0.0000 0.0000  2 N 1.73

The uncorrected formation energy comes out at 1.09 eV/atom. The calculation puts the electronic total energy at -35.349 eV/cell.


Record 4
Below is a relaxed TmFe10Mo2N crystal, with properties calculated at the PBE level.

Cell: 6.5488 6.5488 6.5488 Å, 137.69 97.89 97.07°
With the nearest neighbours (Å) after each atom.
Fractional positions:
Tm 0.0000 0.0000 0.0000  2 N 2.36
Fe 0.2201 0.7201 0.5000  1 N 1.91
Fe 0.7799 0.2799 0.5000  1 N 1.91
Fe 0.7786 0.5000 0.2786  1 N 1.90
Fe 0.2214 0.5000 0.7214  1 N 1.90
Fe 0.5000 0.5000 0.5000  8 Fe 2.36-2.63, 2 Mo 2.64
Fe 0.5000 0.0000 0.0000  8 Fe 2.36-2.63, 2 Mo 2.64
Fe 0.0000 0.5000 0.0000  8 Fe 2.36-2.63, 2 Mo 2.64
Fe 0.0000 0.0000 0.5000  8 Fe 2.36-2.63, 2 Mo 2.64
Fe 0.6408 0.6408 0.0000  9 Fe 2.44-2.69
Fe 0.3592 0.3592 0.0000  9 Fe 2.44-2.69
Mo 0.3571 0.0000 0.3571  1 Mo 2.46, 8 Fe 2.64-2.72
Mo 0.6429 0.0000 0.6429  1 Mo 2.46, 8 Fe 2.64-2.72
N 0.0000 0.5000 0.5000  4 Fe 1.90-1.91

The uncorrected formation energy comes out at -0.12 eV/atom. The calculation puts the electronic total energy at -120.803 eV/cell.